1.
# Y2TlCo2, relaxed, DFT PBE
data_Y2TlCo2
_chemical_formula_sum 'Y4 Tl2 Co4'
_space_group_name_H-M_alt 'I 4/m m m'
_space_group_IT_number 139
_space_group_name_Hall '-I 4 2'
_cell_length_a 5.3090
_cell_length_b 5.3090
_cell_length_c 7.6740
_cell_angle_alpha 90.00
_cell_angle_beta 90.00
_cell_angle_gamma 90.00
loop_
_atom_site_label
_atom_site_fract_x
_atom_site_fract_y
_atom_site_fract_z
Y1 0.0000 0.5000 0.2500
Tl1 0.0000 0.0000 0.0000
Co1 0.0000 0.0000 0.3514
# Crystal system: tetragonal


2.
# LiHo6Ni, relaxed, DFT PBE
data_LiHo6Ni
_chemical_formula_sum 'Li1 Ho6 Ni1'
_space_group_name_H-M_alt 'P -1'
_space_group_IT_number 2
_cell_length_a 6.7629
_cell_length_b 6.7668
_cell_length_c 7.0569
_cell_angle_alpha 90.07
_cell_angle_beta 118.57
_cell_angle_gamma 119.95
loop_
_space_group_symop_operation_xyz
'x,y,z'
'-x,-y,-z'
loop_
_atom_site_label
_atom_site_fract_x
_atom_site_fract_y
_atom_site_fract_z
Li1 0.0000 0.0000 0.0000
Ho1 0.1792 0.4591 0.2548
Ho2 0.2037 0.2804 0.7452
Ho3 0.4648 0.9234 0.7451
Ni1 0.0000 0.5000 0.5000
# Crystal system: triclinic


3.
# ReSiIr2, relaxed, DFT PBE
data_ReSiIr2
_chemical_formula_sum 'Re1 Si1 Ir2'
_space_group_name_H-M_alt 'P m m m'
_space_group_IT_number 47
_cell_length_a 2.7831
_cell_length_b 3.8096
_cell_length_c 5.3448
_cell_angle_alpha 90.00
_cell_angle_beta 90.00
_cell_angle_gamma 90.00
loop_
_space_group_symop_operation_xyz
'x,y,z'
'-x,-y,-z'
'-x,-y,z'
'x,y,-z'
'x,-y,-z'
'-x,y,z'
'-x,y,-z'
'x,-y,z'
loop_
_atom_site_label
_atom_site_fract_x
_atom_site_fract_y
_atom_site_fract_z
Re1 0.0000 0.0000 0.0000
Si1 0.0000 0.0000 0.5000
Ir1 0.5000 0.5000 0.2515
# Energy relative to the elements, uncorrected: -0.149 eV per atom
# Crystal system: orthorhombic


4.
# Ce2NdHg, relaxed, DFT PBE
data_Ce2NdHg
_chemical_formula_sum 'Ce2 Nd1 Hg1'
_space_group_name_H-M_alt 'P 4/m m m'
_space_group_IT_number 123
_space_group_name_Hall '-P 4 2'
_cell_length_a 3.4986
_cell_length_b 3.4986
_cell_length_c 9.7075
_cell_angle_alpha 90.00
_cell_angle_beta 90.00
_cell_angle_gamma 90.00
loop_
_atom_site_label
_atom_site_fract_x
_atom_site_fract_y
_atom_site_fract_z
Ce1 0.0000 0.0000 0.2284
Nd1 0.5000 0.5000 0.5000
Hg1 0.5000 0.5000 0.0000
# Distance to the lowest polymorph of the same formula: 0.033 eV per atom
# Crystal system: tetragonal


5.
# Cr2SbBr, relaxed, DFT PBE
data_Cr2SbBr
_chemical_formula_sum 'Cr6 Sb3 Br3'
_space_group_name_H-M_alt 'R -3 m'
_space_group_IT_number 166
_space_group_name_Hall '-R 3 2"'
_cell_length_a 3.9495
_cell_length_b 3.9495
_cell_length_c 20.3118
_cell_angle_alpha 90.00
_cell_angle_beta 90.00
_cell_angle_gamma 120.00
loop_
_atom_site_label
_atom_site_fract_x
_atom_site_fract_y
_atom_site_fract_z
Cr1 0.0000 0.0000 0.2429
Sb1 0.0000 0.0000 0.5000
Br1 0.0000 0.0000 0.0000
# Energy relative to the elements, uncorrected: 0.170 eV per atom
# Distance to the lowest polymorph of the same formula: 0.094 eV per atom
# Crystal system: trigonal


6.
# AcMg2AgHg2, relaxed, DFT PBE
data_AcMg2AgHg2
_chemical_formula_sum 'Ac2 Mg4 Ag2 Hg4'
_space_group_name_H-M_alt 'I 4/m m m'
_space_group_IT_number 139
_space_group_name_Hall '-I 4 2'
_cell_length_a 4.5383
_cell_length_b 4.5383
_cell_length_c 20.2442
_cell_angle_alpha 90.00
_cell_angle_beta 90.00
_cell_angle_gamma 90.00
loop_
_atom_site_label
_atom_site_fract_x
_atom_site_fract_y
_atom_site_fract_z
Ac1 0.0000 0.0000 0.0000
Mg1 0.0000 0.5000 0.2500
Ag1 0.0000 0.0000 0.5000
Hg1 0.0000 0.0000 0.1607
# Crystal system: tetragonal


7.
# ThTlHgBi, relaxed, DFT PBE
data_ThTlHgBi
_chemical_formula_sum 'Th1 Tl1 Hg1 Bi1'
_space_group_name_H-M_alt 'P m m m'
_space_group_IT_number 47
_cell_length_a 4.7031
_cell_length_b 4.7060
_cell_length_c 5.0996
_cell_angle_alpha 90.00
_cell_angle_beta 90.00
_cell_angle_gamma 90.00
loop_
_space_group_symop_operation_xyz
'x,y,z'
'-x,-y,-z'
'-x,-y,z'
'x,y,-z'
'x,-y,-z'
'-x,y,z'
'-x,y,-z'
'x,-y,z'
loop_
_atom_site_label
_atom_site_fract_x
_atom_site_fract_y
_atom_site_fract_z
Th1 0.0000 0.0000 0.0000
Tl1 0.0000 0.5000 0.5000
Hg1 0.5000 0.0000 0.5000
Bi1 0.5000 0.5000 0.0000
# Distance to the lowest polymorph of the same formula: 0.000 eV per atom
# Crystal system: orthorhombic


8.
# BaTiAs2Se, relaxed, DFT PBE
data_BaTiAs2Se
_chemical_formula_sum 'Ba1 Ti1 As2 Se1'
_space_group_name_H-M_alt 'P 4/m m m'
_space_group_IT_number 123
_space_group_name_Hall '-P 4 2'
_cell_length_a 4.9592
_cell_length_b 4.9592
_cell_length_c 5.2702
_cell_angle_alpha 90.00
_cell_angle_beta 90.00
_cell_angle_gamma 90.00
loop_
_atom_site_label
_atom_site_fract_x
_atom_site_fract_y
_atom_site_fract_z
Ba1 0.0000 0.0000 0.0000
Ti1 0.5000 0.5000 0.5000
As1 0.0000 0.5000 0.5000
Se1 0.5000 0.5000 0.0000
# Energy relative to the elements, uncorrected: -0.869 eV per atom
# Distance to the lowest polymorph of the same formula: 0.000 eV per atom
# Crystal system: tetragonal


9.
# AlCoAg2, relaxed, DFT PBE
data_AlCoAg2
_chemical_formula_sum 'Al2 Co2 Ag4'
_space_group_name_H-M_alt 'C m m m'
_space_group_IT_number 65
_space_group_name_Hall '-C 2 2'
_cell_length_a 5.4869
_cell_length_b 7.9194
_cell_length_c 2.8398
_cell_angle_alpha 90.00
_cell_angle_beta 90.00
_cell_angle_gamma 90.00
loop_
_atom_site_label
_atom_site_fract_x
_atom_site_fract_y
_atom_site_fract_z
Al1 0.0000 0.0000 0.0000
Co1 0.0000 0.5000 0.0000
Ag1 0.2500 0.2500 0.5000
# Crystal system: orthorhombic


10.
# CsTmGeS4, relaxed, DFT PBE
data_CsTmGeS4
_chemical_formula_sum 'Cs2 Tm2 Ge2 S8'
_space_group_name_H-M_alt 'P 1 21/m 1'
_space_group_IT_number 11
_cell_length_a 6.4582
_cell_length_b 6.8209
_cell_length_c 9.4924
_cell_angle_alpha 90.00
_cell_angle_beta 108.42
_cell_angle_gamma 90.00
loop_
_space_group_symop_operation_xyz
'x,y,z'
'-x,-y,-z'
'-x,y+1/2,-z'
'x,-y+1/2,z'
loop_
_atom_site_label
_atom_site_fract_x
_atom_site_fract_y
_atom_site_fract_z
Cs1 0.2392 0.2500 0.4399
Tm1 0.2808 0.2500 0.9544
Ge1 0.2701 0.7500 0.1553
S1 0.0472 0.7500 0.9255
S2 0.0692 0.7500 0.3047
S3 0.4936 0.5014 0.8119
# Energy relative to the elements, uncorrected: -1.252 eV per atom
# Crystal system: monoclinic


11.
# ReH2Br, relaxed, DFT PBE
data_ReH2Br
_chemical_formula_sum 'Re4 H8 Br4'
_space_group_name_H-M_alt 'F m -3 m'
_space_group_IT_number 225
_space_group_name_Hall '-F 4 2 3'
_cell_length_a 5.5466
_cell_length_b 5.5466
_cell_length_c 5.5466
_cell_angle_alpha 90.00
_cell_angle_beta 90.00
_cell_angle_gamma 90.00
loop_
_atom_site_label
_atom_site_fract_x
_atom_site_fract_y
_atom_site_fract_z
Re1 0.0000 0.0000 0.0000
H1 0.2500 0.2500 0.2500
Br1 0.0000 0.0000 0.5000
# Distance to the lowest polymorph of the same formula: 0.832 eV per atom
# Crystal system: cubic


12.
# HfTaGa2, relaxed, DFT PBE
data_HfTaGa2
_chemical_formula_sum 'Hf3 Ta3 Ga6'
_space_group_name_H-M_alt 'R -3 m'
_space_group_IT_number 166
_space_group_name_Hall '-R 3 2"'
_cell_length_a 3.6337
_cell_length_b 3.6337
_cell_length_c 19.9832
_cell_angle_alpha 90.00
_cell_angle_beta 90.00
_cell_angle_gamma 120.00
loop_
_atom_site_label
_atom_site_fract_x
_atom_site_fract_y
_atom_site_fract_z
Hf1 0.0000 0.0000 0.0000
Ta1 0.0000 0.0000 0.5000
Ga1 0.0000 0.0000 0.2463
# Distance to the lowest polymorph of the same formula: 0.295 eV per atom
# Crystal system: trigonal


13.
# Pr8Bi2Pt3, relaxed, DFT PBE
data_Pr8Bi2Pt3
_chemical_formula_sum 'Pr16 Bi4 Pt6'
_space_group_name_H-M_alt 'C 1 2/m 1'
_space_group_IT_number 12
_cell_length_a 16.5066
_cell_length_b 8.4408
_cell_length_c 7.2347
_cell_angle_alpha 90.00
_cell_angle_beta 106.16
_cell_angle_gamma 90.00
loop_
_space_group_symop_operation_xyz
'x,y,z'
'-x,-y,-z'
'-x,y,-z'
'x,-y,z'
'x+1/2,y+1/2,z'
'-x+1/2,-y+1/2,-z'
'-x+1/2,y+1/2,-z'
'x+1/2,-y+1/2,z'
loop_
_atom_site_label
_atom_site_fract_x
_atom_site_fract_y
_atom_site_fract_z
Pr1 0.0928 0.0000 0.3799
Pr2 0.0989 0.5000 0.4016
Pr3 0.1058 0.2530 0.9005
Bi1 0.2467 0.0000 0.1673
Pt1 0.0000 0.2476 0.5000
Pt2 0.0000 0.5000 0.0000
# Crystal system: monoclinic


14.
# Ac2Zn2Cd3, relaxed, DFT PBE
data_Ac2Zn2Cd3
_chemical_formula_sum 'Ac8 Zn8 Cd12'
_space_group_name_H-M_alt 'C m c m'
_space_group_IT_number 63
_space_group_name_Hall '-C 2c 2'
_cell_length_a 4.9470
_cell_length_b 21.0222
_cell_length_c 7.3746
_cell_angle_alpha 90.00
_cell_angle_beta 90.00
_cell_angle_gamma 90.00
loop_
_atom_site_label
_atom_site_fract_x
_atom_site_fract_y
_atom_site_fract_z
Ac1 0.0000 0.0482 0.2500
Ac2 0.0000 0.1689 0.7500
Zn1 0.0000 0.3149 0.5708
Cd1 0.0000 0.2188 0.2500
Cd2 0.0000 0.4350 0.0612
# Distance to the lowest polymorph of the same formula: 0.000 eV per atom
# Crystal system: orthorhombic


15.
# Zr3Zn3Co2, relaxed, DFT PBE
data_Zr3Zn3Co2
_chemical_formula_sum 'Zr3 Zn3 Co2'
_space_group_name_H-M_alt 'P -6 2 m'
_space_group_IT_number 189
_space_group_name_Hall 'P -6 -2'
_cell_length_a 6.8422
_cell_length_b 6.8422
_cell_length_c 3.3260
_cell_angle_alpha 90.00
_cell_angle_beta 90.00
_cell_angle_gamma 120.00
loop_
_atom_site_label
_atom_site_fract_x
_atom_site_fract_y
_atom_site_fract_z
Zr1 0.0000 0.4219 0.0000
Zn1 0.0000 0.7718 0.5000
Co1 0.3333 0.6667 0.5000
# Crystal system: hexagonal


16.
# SrP2WS, relaxed, DFT PBE
data_SrP2WS
_chemical_formula_sum 'Sr1 P2 W1 S1'
_space_group_name_H-M_alt 'P 4/m m m'
_space_group_IT_number 123
_space_group_name_Hall '-P 4 2'
_cell_length_a 4.7026
_cell_length_b 4.7026
_cell_length_c 5.0011
_cell_angle_alpha 90.00
_cell_angle_beta 90.00
_cell_angle_gamma 90.00
loop_
_atom_site_label
_atom_site_fract_x
_atom_site_fract_y
_atom_site_fract_z
Sr1 0.0000 0.0000 0.0000
P1 0.0000 0.5000 0.5000
W1 0.5000 0.5000 0.5000
S1 0.5000 0.5000 0.0000
# Energy relative to the elements, uncorrected: -0.450 eV per atom
# Distance to the lowest polymorph of the same formula: 0.000 eV per atom
# Crystal system: tetragonal


17.
# SnHg2WN, relaxed, DFT PBE
data_SnHg2WN
_chemical_formula_sum 'Sn1 Hg2 W1 N1'
_space_group_name_H-M_alt 'P 4/m m m'
_space_group_IT_number 123
_space_group_name_Hall '-P 4 2'
_cell_length_a 5.7465
_cell_length_b 5.7465
_cell_length_c 5.4840
_cell_angle_alpha 90.00
_cell_angle_beta 90.00
_cell_angle_gamma 90.00
loop_
_atom_site_label
_atom_site_fract_x
_atom_site_fract_y
_atom_site_fract_z
Sn1 0.0000 0.0000 0.0000
Hg1 0.0000 0.5000 0.0000
W1 0.0000 0.0000 0.5000
N1 0.5000 0.5000 0.5000
# Energy relative to the elements, uncorrected: 2.204 eV per atom
# Crystal system: tetragonal


18.
# ThIn3Pd3, relaxed, DFT PBE
data_ThIn3Pd3
_chemical_formula_sum 'Th2 In6 Pd6'
_space_group_name_H-M_alt 'P m -3 n'
_space_group_IT_number 223
_space_group_name_Hall '-P 4n 2 3'
_cell_length_a 7.2010
_cell_length_b 7.2010
_cell_length_c 7.2010
_cell_angle_alpha 90.00
_cell_angle_beta 90.00
_cell_angle_gamma 90.00
loop_
_atom_site_label
_atom_site_fract_x
_atom_site_fract_y
_atom_site_fract_z
Th1 0.0000 0.0000 0.0000
In1 0.0000 0.2500 0.5000
Pd1 0.0000 0.5000 0.2500
# Crystal system: cubic


19.
# YCo4B4, relaxed, DFT PBE
data_YCo4B4
_chemical_formula_sum 'Y2 Co8 B8'
_space_group_name_H-M_alt 'P 42/n m c'
_space_group_IT_number 137
_cell_length_a 5.0078
_cell_length_b 5.0078
_cell_length_c 6.9844
_cell_angle_alpha 90.00
_cell_angle_beta 90.00
_cell_angle_gamma 90.00
loop_
_space_group_symop_operation_xyz
'x,y,z'
'-x,-y,-z'
'-y+1/2,x,z+1/2'
'y+1/2,-x,-z+1/2'
'-x+1/2,-y+1/2,z'
'x+1/2,y+1/2,-z'
'y,-x+1/2,z+1/2'
'-y,x+1/2,-z+1/2'
'x+1/2,-y,-z'
'-x+1/2,y,z'
'-y,-x,-z+1/2'
'y,x,z+1/2'
'-x,y+1/2,-z'
'x,-y+1/2,z'
'y+1/2,x+1/2,-z+1/2'
'-y+1/2,-x+1/2,z+1/2'
loop_
_atom_site_label
_atom_site_fract_x
_atom_site_fract_y
_atom_site_fract_z
Y1 0.2500 0.7500 0.2500
Co1 0.0036 0.7500 0.6142
B1 0.0749 0.2500 0.0902
# Distance to the lowest polymorph of the same formula: 0.014 eV per atom
# Crystal system: tetragonal


20.
# Pm2NdDyMg, relaxed, DFT PBE
data_Pm2NdDyMg
_chemical_formula_sum 'Pm4 Nd2 Dy2 Mg2'
_space_group_name_H-M_alt 'P 1 21/m 1'
_space_group_IT_number 11
_cell_length_a 6.2173
_cell_length_b 5.6866
_cell_length_c 9.5275
_cell_angle_alpha 90.00
_cell_angle_beta 108.77
_cell_angle_gamma 90.00
loop_
_space_group_symop_operation_xyz
'x,y,z'
'-x,-y,-z'
'-x,y+1/2,-z'
'x,-y+1/2,z'
loop_
_atom_site_label
_atom_site_fract_x
_atom_site_fract_y
_atom_site_fract_z
Pm1 0.0479 0.2500 0.2986
Pm2 0.1246 0.7500 0.1083
Nd1 0.4659 0.2500 0.1097
Dy1 0.3355 0.7500 0.5032
Mg1 0.2739 0.2500 0.6912
# Crystal system: monoclinic


It is found that the E_tot values, taken in the order of the records, are -5.865, -4.249, -9.047, -4.293, -6.090, -1.657, -3.780, -5.390, -3.961, -5.031, -3.542, -6.956, -5.605, -2.166, -5.785, -6.367, -2.973, -4.375, -7.343, -4.076 eV/atom.
It is found that the DOS(E_F) values, taken in the order of the records, are 11.4, 14.2, 2.1, 12.2, 3.9, 9.9, 2.2, 4.5, 4.2, 0.0, 13.4, 4.9, 23.8, 28.6, 3.8, 1.4, 2.0, 10.8, 12.7, 13.7 states/eV/cell.